## BaZrFeNi2 (PBE-GGA)

Data for BaZrFeNi2 after structural relaxation. Values from VASP.

Results
Density, g/cm3: 6.4
E, eV/atom: -5.6321
Energy of formation from the pure elements, eV/atom: 0.467

```
&SYSTEM
  ibrav = 0, nat = 5, ntyp = 4
/
ATOMIC_SPECIES
Ba 137.33 Ba.upf
Zr 91.22 Zr.upf
Ni 58.69 Ni.upf
Fe 55.84 Fe.upf
CELL_PARAMETERS angstrom
-0.279 -3.634 -3.149
-2.055 -2.535 3.108
-4.278 1.628 -1.500
ATOMIC_POSITIONS angstrom
Ba -3.306 -2.270 -0.771
Zr -1.027 -1.267 1.554
Ni -0.140 -1.817 -1.574
Ni -2.139 0.814 -0.750
Fe 0.000 0.000 0.000
```